# 1
Compound: NaTl4Au2
Source: the Alexandria database
Functional: PBE
Structure: relaxed

Summary:
- formation enthalpy at 0 K (meV/atom) = -52
- size of the total moment (Bohr magnetons per cell) = 0.00

abc: 9.471 9.471 4.265
angles: 90.00 90.00 148.84
Sites, in units of the cell vectors:
Na  0.000  0.000  0.000
Tl  0.161  0.839  0.500
Tl  0.313  0.687  0.000
Tl  0.687  0.313  0.000
Tl  0.839  0.161  0.500
Au  0.427  0.573  0.500
Au  0.573  0.427  0.500

---

# 2
Compound: NaTlAu3
Source: the Alexandria database
Functional: PBE
Structure: relaxed

Summary:
- formation enthalpy at 0 K (meV/atom) = 237
- size of the total moment (Bohr magnetons per cell) = 0.00

abc: 5.370 5.370 5.370
angles: 90.00 90.00 90.00
Sites, in units of the cell vectors:
Na  0.000  0.000  0.000
Tl  0.500  0.500  0.500
Au  0.000  0.500  0.500
Au  0.500  0.000  0.500
Au  0.500  0.500  0.000

---

# 3
Compound: Na5TlAu2
Source: the Alexandria database
Functional: PBE
Structure: relaxed

Summary:
- formation enthalpy at 0 K (meV/atom) = -143
- size of the total moment (Bohr magnetons per cell) = 0.00

abc: 7.051 7.051 7.051
angles: 138.46 98.12 96.33
Sites, in units of the cell vectors:
Na  0.000  0.000  0.000
Na  0.013  0.687  0.326
Na  0.361  0.687  0.674
Na  0.639  0.313  0.326
Na  0.987  0.313  0.674
Tl  0.500  0.000  0.500
Au  0.317  0.317  0.000
Au  0.683  0.683  0.000